Entry from the Alexandria database: a crystal of Sc2MnNb relaxed with PBEsol (SCAN).

Cell: 4.705 4.705 4.705 Å, 60.00 60.00 60.00°
Positions (direct):
Sc 0.250 0.250 0.250
Sc 0.750 0.750 0.750
Mn 0.000 0.000 0.000
Nb 0.500 0.500 0.500

Results
ΔE_f	0.3	eV per formula unit
V	73.64	Å³/f.u.
E_tot	-79.56	eV/cell